# 1
Entry from Alexandria via LeMat-Bulk: an optimized crystal structure of CeHoPuZn (GGA-PBE).

a b c (Å): 7.338 7.338 7.338
angles (deg): 90.00 90.00 90.00
Space group F-43m (No. 216)
Symmetry-distinct sites (fractional):
Ce1 0.000 0.000 0.000 (multiplicity 4)
Ho1 0.000 0.000 0.500 (multiplicity 4)
Pu1 0.250 0.250 0.250 (multiplicity 4)
Zn1 0.250 0.250 0.750 (multiplicity 4)

Properties
energy of formation from the pure elements: 46 meV/atom
magnetic moment: 2.13 μB/atom
calculated density: 10.33 g/cm3
total DFT energy (no corrections): -103.730 eV for the cell shown

# 2
Entry from Alexandria via LeMat-Bulk: an optimized crystal structure of BaTiRu2 (GGA-PBE).

a b c (Å): 6.750 6.750 6.750
angles (deg): 90.00 90.00 90.00
Space group Fm-3m (No. 225)
Symmetry-distinct sites (fractional):
Ba1 0.000 0.000 0.000 (multiplicity 4)
Ti1 0.000 0.000 0.500 (multiplicity 4)
Ru1 0.250 0.250 0.250 (multiplicity 8)

Properties
energy of formation from the pure elements: 586 meV/atom
magnetic moment: 0.00 μB/atom
calculated density: 8.36 g/cm3
total DFT energy (no corrections): -104.100 eV for the cell shown

# 3
Entry from Alexandria via LeMat-Bulk: an optimized crystal structure of LaErTlSn (GGA-PBE).

a b c (Å): 7.734 7.734 7.734
angles (deg): 90.00 90.00 90.00
Space group F-43m (No. 216)
Symmetry-distinct sites (fractional):
La1 0.000 0.000 0.000 (multiplicity 4)
Er1 0.000 0.000 0.500 (multiplicity 4)
Tl1 0.250 0.250 0.750 (multiplicity 4)
Sn1 0.250 0.250 0.250 (multiplicity 4)

Properties
energy of formation from the pure elements: -493 meV/atom
magnetic moment: 0.00 μB/atom
calculated density: 9.03 g/cm3
total DFT energy (no corrections): -71.326 eV for the cell shown

# 4
Entry from Alexandria via LeMat-Bulk: an optimized crystal structure of Ba2TaOs (GGA-PBE).

a b c (Å): 12.085 12.085 4.804
angles (deg): 90.00 90.00 90.00
Space group I-42d (No. 122)
Symmetry-distinct sites (fractional):
Ba1 0.081 0.250 0.125 (multiplicity 8)
Ta1 0.000 0.000 0.500 (multiplicity 4)
Os1 0.000 0.000 0.000 (multiplicity 4)

Properties
energy of formation from the pure elements: 914 meV/atom
magnetic moment: 0.00 μB/atom
calculated density: 6.11 g/cm3
total DFT energy (no corrections): -93.093 eV for the cell shown

# 5
Entry from Alexandria via LeMat-Bulk: an optimized crystal structure of CsKNa2Ag (GGA-PBE).

a b c (Å): 6.162 6.162 6.569
angles (deg): 90.00 90.00 90.00
Space group P4/mmm (No. 123)
Symmetry-distinct sites (fractional):
Cs1 0.000 0.000 0.000 (multiplicity 1)
K1 0.500 0.500 0.000 (multiplicity 1)
Na1 0.000 0.500 0.500 (multiplicity 2)
Ag1 0.500 0.500 0.500 (multiplicity 1)

Properties
energy of formation from the pure elements: 58 meV/atom
magnetic moment: 0.00 μB/atom
calculated density: 2.17 g/cm3
total DFT energy (no corrections): -7.152 eV for the cell shown

# 6
Entry from Alexandria via LeMat-Bulk: an optimized crystal structure of Sm2BeZn (GGA-PBE).

a b c (Å): 3.539 3.539 7.192
angles (deg): 90.00 90.00 90.00
Space group P4/mmm (No. 123)
Symmetry-distinct sites (fractional):
Sm1 0.000 0.000 0.232 (multiplicity 2)
Be1 0.500 0.500 0.000 (multiplicity 1)
Zn1 0.500 0.500 0.500 (multiplicity 1)

Properties
energy of formation from the pure elements: -81 meV/atom
magnetic moment: 0.00 μB/atom
calculated density: 6.92 g/cm3
total DFT energy (no corrections): -14.763 eV for the cell shown